(1)
Entry from Alexandria: a geometry-optimized CrCd3 structure (GGA-PBE).

## Properties
Its magnetic moment is 1.022 μB/atom. The space group is Fm-3m. The formation energy is 0.248 eV/atom.

abc: 4.842 4.842 4.842
angles: 60.00 60.00 60.00
Element x y z (fractional)
Cr  0.000  0.000  0.000
Cd  0.250  0.250  0.250
Cd  0.500  0.500  0.500
Cd  0.750  0.750  0.750

***

(2)
Entry from Alexandria: a geometry-optimized CdAgOs2 structure (GGA-PBE).

## Properties
Its magnetic moment is 0.245 μB/atom. The space group is P4/mmm. The formation energy is 1.164 eV/atom.

abc: 3.197 3.197 6.413
angles: 90.00 90.00 90.00
Element x y z (fractional)
Cd  0.000  0.000  0.000
Ag  0.000  0.000  0.500
Os  0.500  0.500  0.268
Os  0.500  0.500  0.732

***

(3)
Entry from Alexandria: a geometry-optimized OsRhIN2 structure (GGA-PBE).

## Properties
Its magnetic moment is 0.211 μB/atom. The space group is P4/mmm. The total energy comes out at -6.3824 eV/atom.

abc: 3.798 3.798 5.993
angles: 90.00 90.00 90.00
Element x y z (fractional)
Os  0.000  0.000  0.000
Rh  0.500  0.500  0.500
I  0.000  0.000  0.500
N  0.000  0.500  0.000
N  0.500  0.000  0.000

***

Q: What is the formula in the second record?
A: CdAgOs2

***

Q: What is the magnetic moment in the second record?
A: 0.245 μB/atom

***

Q: Number 2 is which compound?
A: CdAgOs2